A geometry-optimized HfPtS2 structure, computed with GGA-PBE.

The value obtained for the formation energy without anion corrections is -2.226 eV per formula unit. For the total magnetization, the calculation gives 0.0 μB per formula unit. For the total energy, the calculation gives -105.9 eV per cell.

The space group is Fm-3m (No. 225) and the conventional cell measures 6.3600, 6.3600 and 6.3600 Å, with angles of 90.00, 90.00 and 90.00 degrees. The inequivalent atoms are Hf at (0.0000, 0.0000, 0.0000), Pt at (0.0000, 0.0000, 0.5000) and S at (0.2500, 0.2500, 0.2500).